No. 1
DFT (GGA-PBE) results for a relaxed RbHfPd2 crystal.

E above lowest polymorph in eV/atom: 0.000
Energy of formation in meV/atom: 266

a b c (Å): 7.7839 7.7839 7.2204
angles (deg): 90.00 90.00 90.00
With the nearest neighbours (Å) after each atom.
Space group I-42d (No. 122)
Symmetry-distinct sites (fractional):
Rb  0.0000  0.0000  0.0000 x4  8 Pd 3.26-3.63, 2 Hf 3.61
Hf  0.0000  0.0000  0.5000 x4  4 Pd 2.58
Pd  0.1838  0.2500  0.6250 x8  2 Hf 2.58

---

No. 2
DFT (GGA-PBE) results for a relaxed RbHfPd3 crystal.

E above lowest polymorph in eV/atom: 1.320
Energy of formation in meV/atom: 1588

a b c (Å): 4.9929 4.9929 4.9929
angles (deg): 90.00 90.00 90.00
With the nearest neighbours (Å) after each atom.
Space group Pm-3m (No. 221)
Symmetry-distinct sites (fractional):
Rb  0.0000  0.0000  0.0000 x1  6 Pd 2.50
Hf  0.5000  0.5000  0.5000 x1  12 Pd 3.53
Pd  0.0000  0.0000  0.5000 x3  2 Rb 2.50

---

No. 3
DFT (GGA-PBE) results for a relaxed RbHfPd3 crystal.

E above lowest polymorph in eV/atom: 0.000
Energy of formation in meV/atom: 268

a b c (Å): 5.0965 5.0965 5.0965
angles (deg): 90.00 90.00 90.00
With the nearest neighbours (Å) after each atom.
Space group Pm-3m (No. 221)
Symmetry-distinct sites (fractional):
Rb  0.0000  0.0000  0.0000 x1  12 Pd 3.60
Hf  0.5000  0.5000  0.5000 x1  6 Pd 2.55
Pd  0.0000  0.5000  0.5000 x3  2 Hf 2.55

---

No. 4
DFT (GGA-PBE) results for a relaxed RbHfPd2 crystal.

E above lowest polymorph in eV/atom: 0.065
Energy of formation in meV/atom: 331

a b c (Å): 7.0165 7.0165 7.0165
angles (deg): 90.00 90.00 90.00
With the nearest neighbours (Å) after each atom.
Space group Fm-3m (No. 225)
Symmetry-distinct sites (fractional):
Rb  0.0000  0.0000  0.0000 x4  8 Pd 3.04
Hf  0.0000  0.0000  0.5000 x4  8 Pd 3.04
Pd  0.2500  0.2500  0.2500 x8  4 Hf 3.04, 4 Rb 3.04

---

No. 5
DFT (GGA-PBE) results for a relaxed Rb2HfPd crystal.

E above lowest polymorph in eV/atom: 0.609
Energy of formation in meV/atom: 1364

a b c (Å): 8.2944 8.2944 8.2944
angles (deg): 90.00 90.00 90.00
With the nearest neighbours (Å) after each atom.
Space group Fm-3m (No. 225)
Symmetry-distinct sites (fractional):
Rb  0.2500  0.2500  0.2500 x8  4 Hf 3.59, 4 Pd 3.59
Hf  0.0000  0.0000  0.0000 x4  8 Rb 3.59
Pd  0.0000  0.0000  0.5000 x4  8 Rb 3.59

---

No. 6
DFT (GGA-PBE) results for a relaxed Rb2HfPd crystal.

E above lowest polymorph in eV/atom: 0.000
Energy of formation in meV/atom: 755

a b c (Å): 13.0167 13.0167 4.9672
angles (deg): 90.00 90.00 90.00
With the nearest neighbours (Å) after each atom.
Space group I-42d (No. 122)
Symmetry-distinct sites (fractional):
Rb  0.0926  0.2500  0.1250 x8  2 Pd 3.53, 2 Hf 3.94
Hf  0.0000  0.0000  0.5000 x4  2 Pd 2.48
Pd  0.0000  0.0000  0.0000 x4  2 Hf 2.48

---

No. 7
DFT (GGA-PBE) results for a relaxed Rb2HfPdS4 crystal.

Formation energy without anion corrections in meV/atom: -1034.7

a b c (Å): 6.0294 13.8322 24.4064
angles (deg): 90.00 90.00 90.00
With the nearest neighbours (Å) after each atom.
Space group Fddd (No. 70, origin choice 2)
Symmetry-distinct sites (fractional):
Rb  0.1250  0.1250  0.3040 x16  8 S 3.67-3.72
Hf  0.1250  0.1250  0.1250 x8  4 S 2.39
Pd  0.1250  0.1250  0.6250 x8  4 S 2.43
S  0.1194  0.2764  0.4280 x32  1 Hf 2.39, 1 Pd 2.43

---

No. 8
DFT (GGA-PBE) results for a relaxed RbHfTc2Pd crystal.

Energy of formation in meV/atom: 1551

a b c (Å): 5.1602 5.1602 4.9255
angles (deg): 90.00 90.00 90.00
With the nearest neighbours (Å) after each atom.
Space group P4/mmm (No. 123)
Symmetry-distinct sites (fractional):
Rb  0.0000  0.0000  0.0000 x1  8 Tc 3.57, 4 Hf 3.65
Hf  0.5000  0.5000  0.0000 x1  2 Pd 2.46
Tc  0.0000  0.5000  0.5000 x2  2 Pd 2.58
Pd  0.5000  0.5000  0.5000 x1  2 Hf 2.46, 4 Tc 2.58

---

No. 9
DFT (GGA-PBE) results for a relaxed Rb2Hf2Te6Pd crystal.

Formation energy without anion corrections in meV/atom: -748.5

a b c (Å): 7.1581 12.4829 9.0879
angles (deg): 90.00 105.42 90.00
With the nearest neighbours (Å) after each atom.
Space group C2/m (No. 12)
Symmetry-distinct sites (fractional):
Rb  0.0000  0.1624  0.0000 x4  6 Te 3.66-3.68, 1 Rb 4.06
Hf  0.0000  0.3245  0.5000 x4  6 Te 2.87-2.95
Te  0.2360  0.5000  0.6723 x4  1 Pd 2.76, 2 Hf 2.95
Te  0.2396  0.1621  0.6904 x8  2 Hf 2.87-2.91, 1 Pd 2.91
Pd  0.0000  0.0000  0.5000 x2  6 Te 2.76-2.91

---

No. 10
DFT (GGA-PBE) results for a relaxed Rb2YHfPd crystal.

Energy of formation in meV/atom: 1200

a b c (Å): 6.8211 6.8211 4.8369
angles (deg): 90.00 90.00 90.00
With the nearest neighbours (Å) after each atom.
Space group P4/mmm (No. 123)
Symmetry-distinct sites (fractional):
Rb  0.0000  0.5000  0.0000 x2  2 Hf 3.41
Y  0.0000  0.0000  0.5000 x1  8 Rb 4.18
Hf  0.5000  0.5000  0.0000 x1  2 Pd 2.42
Pd  0.5000  0.5000  0.5000 x1  2 Hf 2.42